(1)
The following is a GGA-PBE calculation of NdNiTe2 after structural relaxation, from the Alexandria database.

Properties
DFT total energy: -17.70 eV/cell
raw formation energy: -20.84 kJ per mole of atoms
SG: R-3m, No. 166
D(E_F): 0.831 states/eV per atom

abc: 9.414 9.414 9.414
angles: 23.06 23.06 23.06
Element x y z (fractional)
1 Nd 0.000 0.000 0.000
2 Ni 0.500 0.500 0.500
3 Te 0.115 0.115 0.115
4 Te 0.885 0.885 0.885



(2)
The following is a GGA-PBE calculation of SrReTe after structural relaxation, from the Alexandria database.

Properties
DFT total energy: -16.44 eV/cell
energy relative to the lowest polymorph listed for this composition: 2.4 kJ/mol of atoms
raw formation energy: 26.89 kJ per mole of atoms
SG: P-6m2, No. 187
D(E_F): 1.159 states/eV per atom

abc: 4.529 4.529 4.615
angles: 90.00 90.00 120.00
Element x y z (fractional)
1 Sr 0.000 0.000 0.000
2 Re 0.333 0.667 0.500
3 Te 0.667 0.333 0.500



(3)
The following is a GGA-PBE calculation of Cs2TlBr after structural relaxation, from the Alexandria database.

Properties
DFT total energy: -8.36 eV/cell
energy relative to the lowest polymorph listed for this composition: 12.5 kJ/mol of atoms
raw formation energy: -62.97 kJ per mole of atoms
SG: R-3m, No. 166
D(E_F): 0.701 states/eV per atom

abc: 12.661 12.661 12.661
angles: 21.29 21.29 21.29
Element x y z (fractional)
1 Cs 0.103 0.103 0.103
2 Cs 0.897 0.897 0.897
3 Tl 0.000 0.000 0.000
4 Br 0.500 0.500 0.500



(4)
The following is a GGA-PBE calculation of CaTaSe2 after structural relaxation, from the Alexandria database.

Properties
DFT total energy: -23.30 eV/cell
energy relative to the lowest polymorph listed for this composition: 24.3 kJ/mol of atoms
raw formation energy: -59.66 kJ per mole of atoms
SG: Immm, No. 71
D(E_F): 0.538 states/eV per atom

abc: 5.588 5.588 5.588
angles: 142.58 111.85 80.42
Element x y z (fractional)
1 Ca 0.000 0.000 0.000
2 Ta 0.500 0.500 0.000
3 Se 0.287 0.787 0.500
4 Se 0.713 0.213 0.500



(5)
The following is a GGA-PBE calculation of Ba2Zn3SnAu12 after structural relaxation, from the Alexandria database.

Properties
DFT total energy: -55.43 eV/cell
SG: R-3m, No. 166
formation enthalpy at 0 K: -0.25 eV per atom
D(E_F): 0.299 states/eV per atom

abc: 10.397 10.397 10.397
angles: 40.20 40.20 40.20
Element x y z (fractional)
1 Ba 0.149 0.149 0.149
2 Ba 0.851 0.851 0.851
3 Zn 0.000 0.500 0.500
4 Zn 0.500 0.000 0.500
5 Zn 0.500 0.500 0.000
6 Sn 0.500 0.500 0.500
7 Au 0.090 0.090 0.689
8 Au 0.090 0.689 0.090
9 Au 0.135 0.575 0.575
10 Au 0.311 0.910 0.910
11 Au 0.425 0.425 0.865
12 Au 0.425 0.865 0.425
13 Au 0.575 0.135 0.575
14 Au 0.575 0.575 0.135
15 Au 0.689 0.090 0.090
16 Au 0.865 0.425 0.425
17 Au 0.910 0.311 0.910
18 Au 0.910 0.910 0.311



(6)
The following is a GGA-PBE calculation of Cs2PtCBr6 after structural relaxation, from the Alexandria database.

Properties
DFT total energy: -30.45 eV/cell
raw formation energy: -33.23 kJ per mole of atoms
SG: I4/mmm, No. 139
D(E_F): 0.000 states/eV per atom

abc: 7.744 7.744 7.744
angles: 114.45 114.45 99.91
Element x y z (fractional)
1 Cs 0.250 0.750 0.500
2 Cs 0.750 0.250 0.500
3 Pt 0.000 0.000 0.000
4 C 0.500 0.500 0.000
5 Br 0.209 0.209 0.418
6 Br 0.209 0.791 0.000
7 Br 0.316 0.316 0.000
8 Br 0.684 0.684 0.000
9 Br 0.791 0.209 0.000
10 Br 0.791 0.791 0.582



- What is the D(E_F) in the sixth record?
  0.000 states/eV per atom